SrSnHg | GGA-PBEsol | optimized geometry

Cell and atoms, written as extended XYZ:
```
6
Lattice="4.913 0.000 0.000 -2.457 4.255 0.000 0.000 0.000 7.967" Properties=species:S:1:pos:R:3 pbc="T T T"
Sr 0.000 0.000 0.000
Sr 0.000 0.000 3.984
Sn 0.000 2.837 2.281
Sn 2.457 1.418 6.265
Hg 0.000 2.837 5.566
Hg 2.457 1.418 1.582
```

Summary:
The calculated total energy comes out at -2.85 eV/atom. The space-group type is P6_3mc (186). The total magnetic moment is 0.00 μB per atom. The density is 8.1 g cm⁻³.

***

Sr2Sn2Hg | GGA-PBEsol | optimized geometry

Cell and atoms, written as extended XYZ:
```
10
Lattice="7.805 0.000 0.000 0.000 7.805 0.000 0.000 0.000 5.004" Properties=species:S:1:pos:R:3 pbc="T T T"
Sr 1.314 2.588 0.000
Sr 2.588 6.491 0.000
Sr 5.217 1.314 0.000
Sr 6.491 5.217 0.000
Sn 1.052 4.955 2.502
Sn 2.850 1.052 2.502
Sn 4.955 6.753 2.502
Sn 6.753 2.850 2.502
Hg 0.000 0.000 2.502
Hg 3.903 3.903 2.502
```

Summary:
The calculated total energy comes out at -3.10 eV/atom. The space-group type is P4/mbm (127). The total magnetic moment is 0.00 μB per atom. The density is 6.7 g cm⁻³.

***

SrSn2Hg2 | GGA-PBEsol | optimized geometry

Cell and atoms, written as extended XYZ:
```
10
Lattice="6.257 -2.472 0.000 6.257 2.472 0.000 -4.642 0.000 8.762" Properties=species:S:1:pos:R:3 pbc="T T T"
Sr 1.137 0.000 1.888
Sr 6.735 0.000 6.874
Sn -0.995 0.000 4.906
Sn 5.038 0.000 0.801
Sn 2.834 0.000 7.961
Sn 8.867 0.000 3.856
Hg -1.997 0.000 7.556
Hg 2.161 0.000 5.162
Hg 5.711 0.000 3.600
Hg 9.869 0.000 1.206
```

Summary:
The calculated total energy comes out at -2.71 eV/atom. The space-group type is C2/m (12). The total magnetic moment is 0.00 μB per atom. The density is 8.9 g cm⁻³.

***

Sr2SnHg2 | GGA-PBEsol | optimized geometry

Cell and atoms, written as extended XYZ:
```
10
Lattice="8.411 0.000 0.000 0.000 8.411 0.000 0.000 0.000 4.162" Properties=species:S:1:pos:R:3 pbc="T T T"
Sr 1.487 2.718 0.000
Sr 2.718 6.923 0.000
Sr 5.693 1.487 0.000
Sr 6.923 5.693 0.000
Sn 0.000 0.000 2.081
Sn 4.205 4.205 2.081
Hg 1.035 5.240 2.081
Hg 3.171 1.035 2.081
Hg 5.240 7.376 2.081
Hg 7.376 3.171 2.081
```

Summary:
The calculated total energy comes out at -2.35 eV/atom. The space-group type is P4/mbm (127). The total magnetic moment is 0.00 μB per atom. The density is 7.8 g cm⁻³.

***

SrSn2Hg2 | GGA-PBEsol | optimized geometry

Cell and atoms, written as extended XYZ:
```
5
Lattice="-2.357 2.357 6.212 2.357 -2.357 6.212 2.357 2.357 -6.212" Properties=species:S:1:pos:R:3 pbc="T T T"
Sr 0.000 0.000 0.000
Sn 2.357 0.000 3.106
Sn 0.000 2.357 3.106
Hg 0.000 0.000 4.858
Hg 0.000 0.000 7.566
```

Summary:
The calculated total energy comes out at -2.68 eV/atom. The space-group type is I4/mmm (139). The total magnetic moment is 0.00 μB per atom. The density is 8.7 g cm⁻³.

***

Sr2TaSnHg | GGA-PBEsol | optimized geometry

Cell and atoms, written as extended XYZ:
```
5
Lattice="5.888 0.000 0.000 0.000 5.888 0.000 0.000 0.000 5.112" Properties=species:S:1:pos:R:3 pbc="T T T"
Sr 0.000 2.944 0.000
Sr 2.944 0.000 0.000
Ta 0.000 0.000 2.556
Sn 2.944 2.944 2.556
Hg 0.000 0.000 0.000
```

Summary:
The calculated total energy comes out at -3.53 eV/atom. The space-group type is P4/mmm (123). The total magnetic moment is 0.25 μB per atom. The density is 6.3 g cm⁻³.

***

Q: Look up the total magnetic moment of the third one.
A: 0.00 μB per atom

***

What did the sixth record say?
Sr2TaSnHg | GGA-PBEsol | optimized geometry

Cell and atoms, written as extended XYZ:
```
5
Lattice="5.888 0.000 0.000 0.000 5.888 0.000 0.000 0.000 5.112" Properties=species:S:1:pos:R:3 pbc="T T T"
Sr 0.000 2.944 0.000
Sr 2.944 0.000 0.000
Ta 0.000 0.000 2.556
Sn 2.944 2.944 2.556
Hg 0.000 0.000 0.000
```

Summary:
The calculated total energy comes out at -3.53 eV/atom. The space-group type is P4/mmm (123). The total magnetic moment is 0.25 μB per atom. The density is 6.3 g cm⁻³.

***

Q: What is the total magnetic moment in the second record?
A: 0.00 μB per atom

***

Copy entry 3 word for word.
SrSn2Hg2 | GGA-PBEsol | optimized geometry

Cell and atoms, written as extended XYZ:
```
10
Lattice="6.257 -2.472 0.000 6.257 2.472 0.000 -4.642 0.000 8.762" Properties=species:S:1:pos:R:3 pbc="T T T"
Sr 1.137 0.000 1.888
Sr 6.735 0.000 6.874
Sn -0.995 0.000 4.906
Sn 5.038 0.000 0.801
Sn 2.834 0.000 7.961
Sn 8.867 0.000 3.856
Hg -1.997 0.000 7.556
Hg 2.161 0.000 5.162
Hg 5.711 0.000 3.600
Hg 9.869 0.000 1.206
```

Summary:
The calculated total energy comes out at -2.71 eV/atom. The space-group type is C2/m (12). The total magnetic moment is 0.00 μB per atom. The density is 8.9 g cm⁻³.